First-principles (PBE) data for crystalline TiCoTcAu2 at its relaxed geometry, as listed in the Alexandria database.

Properties
* M_tot: 0.00 μB/cell
* calculated volume: 18.739 Å³/atom
* total DFT energy (no corrections): -5.0852 eV per atom
* energy relative to the elements: 627 kJ/mol of formula units

Geometry as POSCAR:
```
TiCoTcAu2
1.0
4.835 0.000 0.000
0.000 4.835 0.000
0.000 0.000 4.009
Ti Co Tc Au
1 1 1 2
Direct
0.000 0.000 0.000 Ti
0.000 0.000 0.500 Co
0.500 0.500 0.500 Tc
0.000 0.500 0.000 Au
0.500 0.000 0.000 Au
```

First-principles (PBE) data for crystalline BaP2Au at its relaxed geometry, as listed in the Alexandria database.

Properties
* M_tot: 0.00 μB/cell
* calculated volume: 25.421 Å³/atom
* energy relative to the lowest polymorph listed for this composition: 121 meV per atom
* total DFT energy (no corrections): -4.4592 eV per atom
* energy relative to the elements: -175 kJ/mol of formula units

Geometry as POSCAR:
```
BaP2Au
1.0
9.817 0.000 0.000
0.000 4.242 0.000
-4.315 0.000 4.884
Ba P Au
2 4 2
Direct
0.000 0.000 0.000 Ba
0.500 0.500 0.000 Ba
0.167 0.000 0.669 P
0.333 0.500 0.331 P
0.667 0.500 0.669 P
0.833 0.000 0.331 P
0.000 0.500 0.500 Au
0.500 0.000 0.500 Au
```

First-principles (PBE) data for crystalline KSiTe4 at its relaxed geometry, as listed in the Alexandria database.

Properties
* M_tot: 1.14 μB/cell
* calculated volume: 31.915 Å³/atom
* energy relative to the lowest polymorph listed for this composition: 575 meV per atom
* energy relative to the elements, uncorrected: 325.4 meV per atom
* total DFT energy (no corrections): -2.8558 eV per atom

Geometry as POSCAR:
```
KSiTe4
1.0
0.000 4.575 4.575
4.575 0.000 4.575
4.575 4.575 0.000
K Si Te
1 1 4
Direct
0.000 0.000 0.000 K
0.750 0.750 0.750 Si
0.376 0.376 0.376 Te
0.376 0.376 0.872 Te
0.376 0.872 0.376 Te
0.872 0.376 0.376 Te
```

First-principles (PBE) data for crystalline CeYMgPb at its relaxed geometry, as listed in the Alexandria database.

Properties
* M_tot: 4.90 μB/cell
* calculated volume: 28.328 Å³/atom
* total DFT energy (no corrections): -4.6619 eV per atom
* energy relative to the elements: -91 kJ/mol of formula units

Geometry as POSCAR:
```
CeYMgPb
1.0
7.681 0.000 0.000
0.000 7.681 0.000
0.000 0.000 7.681
Ce Y Mg Pb
4 4 4 4
Direct
0.000 0.000 0.000 Ce
0.000 0.500 0.500 Ce
0.500 0.000 0.500 Ce
0.500 0.500 0.000 Ce
0.000 0.000 0.500 Y
0.000 0.500 0.000 Y
0.500 0.000 0.000 Y
0.500 0.500 0.500 Y
0.250 0.250 0.250 Mg
0.250 0.750 0.750 Mg
0.750 0.250 0.750 Mg
0.750 0.750 0.250 Mg
0.250 0.250 0.750 Pb
0.250 0.750 0.250 Pb
0.750 0.250 0.250 Pb
0.750 0.750 0.750 Pb
```

First-principles (PBE) data for crystalline FeNi2 at its relaxed geometry, as listed in the Alexandria database.

Properties
* M_tot: 15.65 μB/cell
* calculated volume: 11.928 Å³/atom
* total DFT energy (no corrections): -6.4391 eV per atom
* energy relative to the elements: 68 kJ/mol of formula units

Geometry as POSCAR:
```
FeNi2
1.0
5.581 0.000 0.000
0.000 5.581 0.000
0.000 0.000 4.595
Fe Ni
4 8
Direct
0.000 0.000 0.250 Fe
0.000 0.000 0.750 Fe
0.500 0.500 0.250 Fe
0.500 0.500 0.750 Fe
0.150 0.350 0.000 Ni
0.150 0.650 0.500 Ni
0.350 0.150 0.500 Ni
0.350 0.850 0.000 Ni
0.650 0.150 0.000 Ni
0.650 0.850 0.500 Ni
0.850 0.350 0.500 Ni
0.850 0.650 0.000 Ni
```

First-principles (PBE) data for crystalline NdSnHg5 at its relaxed geometry, as listed in the Alexandria database.

Properties
* M_tot: 0.00 μB/cell
* calculated volume: 27.164 Å³/atom
* total DFT energy (no corrections): -1.6994 eV per atom
* energy relative to the elements: -156 kJ/mol of formula units

Geometry as POSCAR:
```
NdSnHg5
1.0
4.956 0.000 0.000
0.000 4.956 0.000
0.000 0.000 7.742
Nd Sn Hg
1 1 5
Direct
0.000 0.000 0.000 Nd
0.000 0.000 0.500 Sn
0.000 0.500 0.275 Hg
0.000 0.500 0.725 Hg
0.500 0.000 0.275 Hg
0.500 0.000 0.725 Hg
0.500 0.500 0.000 Hg
```

First-principles (PBE) data for crystalline Pm2TeH2S at its relaxed geometry, as listed in the Alexandria database.

Properties
* M_tot: 0.00 μB/cell
* calculated volume: 18.717 Å³/atom
* total DFT energy (no corrections): -5.2601 eV per atom

Geometry as POSCAR:
```
Pm2TeH2S
1.0
3.998 0.000 0.000
-1.999 3.462 0.000
0.000 0.000 8.112
Pm Te H S
2 1 2 1
Direct
0.333 0.667 0.226 Pm
0.667 0.333 0.774 Pm
0.000 0.000 0.500 Te
0.333 0.667 0.764 H
0.667 0.333 0.236 H
0.000 0.000 0.000 S
```

- What is the calculated volume in the seventh record?
  18.717 Å³/atom

- Which of these has the highest calculated volume?
  KSiTe4

- Look up the total DFT energy (no corrections) of the fourth one.
  -4.6619 eV per atom